[1]
Computed, not measured: a geometry-optimized AcHoAlPt structure at the PBE level of DFT.

a = 5.2611 Å, b = 5.2611 Å, c = 5.2611 Å
α = 60.00°, β = 60.00°, γ = 60.00°
Atoms (fractional coordinates):
1 Ac 0.0000 0.0000 0.0000
2 Ho 0.5000 0.5000 0.5000
3 Pt 0.7500 0.7500 0.7500
4 Al 0.2500 0.2500 0.2500

As for the density of states at the Fermi level: 3.65 states/eV/f.u. Its space group is F-43m (216). The total DFT energy (no corrections) comes out at -20.72 eV per formula unit. The formation enthalpy at 0 K comes out at -0.563 eV per atom.

=====

[2]
Computed, not measured: a geometry-optimized AcHoAlRh structure at the PBE level of DFT.

a = 5.2103 Å, b = 5.2103 Å, c = 5.2103 Å
α = 60.00°, β = 60.00°, γ = 60.00°
Atoms (fractional coordinates):
1 Ac 0.5000 0.5000 0.5000
2 Rh 0.2500 0.2500 0.2500
3 Ho 0.0000 0.0000 0.0000
4 Al 0.7500 0.7500 0.7500

As for the density of states at the Fermi level: 3.56 states/eV/f.u. Its space group is F-43m (216). The total DFT energy (no corrections) comes out at -21.23 eV per formula unit. The formation enthalpy at 0 K comes out at -0.361 eV per atom.